Entry 1:
First-principles (PBE) data for a relaxed structure of AlSb2TeH, as listed in Alexandria.

Cell: 4.457 4.457 5.495 Å, 90.00 90.00 90.00°
Fractional coordinates of all 5 atoms:
Al (0.000, 0.000, 0.000)
Sb (0.000, 0.500, 0.500)
Sb (0.500, 0.000, 0.500)
Te (0.500, 0.500, 0.000)
H (0.500, 0.500, 0.500)

Output
Uncorrected energy (eV/atom): -3.25
Crystal system: tetragonal



Entry 2:
First-principles (PBE) data for a relaxed structure of MgCr2Ag, as listed in Alexandria.

Cell: 5.167 5.167 5.167 Å, 139.40 139.40 58.77°
Fractional coordinates of all 4 atoms:
Mg (0.000, 0.000, 0.000)
Cr (0.250, 0.750, 0.500)
Cr (0.750, 0.250, 0.500)
Ag (0.500, 0.500, 0.000)

Output
Uncorrected energy (eV/atom): -5.39
Crystal system: tetragonal
Energy of formation (eV per atom): 0.532



Entry 3:
First-principles (PBE) data for a relaxed structure of ZrMnFe2, as listed in Alexandria.

Cell: 4.942 4.942 4.028 Å, 113.91 113.91 41.01°
Fractional coordinates of all 4 atoms:
Zr (0.000, 0.000, 0.000)
Mn (0.500, 0.500, 0.500)
Fe (0.246, 0.246, 0.746)
Fe (0.754, 0.754, 0.254)

Output
Uncorrected energy (eV/atom): -8.55
Crystal system: monoclinic
Energy of formation (eV per atom): 0.110



Entry 4:
First-principles (PBE) data for a relaxed structure of KGeBr3, as listed in Alexandria.

Cell: 10.231 10.231 10.231 Å, 60.00 60.00 60.00°
Fractional coordinates of all 20 atoms:
K (0.000, 0.000, 0.000)
K (0.000, 0.000, 0.500)
K (0.000, 0.500, 0.000)
K (0.500, 0.000, 0.000)
Ge (0.000, 0.500, 0.500)
Ge (0.500, 0.000, 0.500)
Ge (0.500, 0.500, 0.000)
Ge (0.500, 0.500, 0.500)
Br (0.166, 0.166, 0.584)
Br (0.166, 0.584, 0.166)
Br (0.166, 0.584, 0.584)
Br (0.416, 0.416, 0.834)
Br (0.416, 0.834, 0.416)
Br (0.416, 0.834, 0.834)
Br (0.584, 0.166, 0.166)
Br (0.584, 0.166, 0.584)
Br (0.584, 0.584, 0.166)
Br (0.834, 0.416, 0.416)
Br (0.834, 0.416, 0.834)
Br (0.834, 0.834, 0.416)

Output
E_form (uncorrected) (eV/atom): -0.9400
Uncorrected energy (eV/atom): -3.09
Crystal system: cubic



- Which of these has the lowest uncorrected energy?
  ZrMnFe2



- The lowest uncorrected energy belongs to which entry?
  ZrMnFe2